## AlBi3Te (PBE-GGA)

Data for AlBi3Te after structural relaxation.

E_tot = -16.073 eV/cell
Energy relative to the elements, uncorrected = 491 meV per atom
Polymorph energy (0 for the lowest one) = 0.0 meV per atom

Cell lengths 5.482, 5.482, 5.482 Å; angles 90.00, 90.00, 90.00 degrees
Atoms (fractional coordinates):
Te1 0.500 0.500 0.500
Bi1 0.000 0.500 0.000
Bi2 0.000 0.000 0.500
Bi3 0.500 0.000 0.000
Al1 0.000 0.000 0.000